First-principles (PBE-GGA) data for a relaxed Er3Sc7Ni4 crystal, as listed in Alexandria via LeMat-Bulk.

Values from the calculation:
DOS at the Fermi energy (states/eV/cell): 14.18
ΔE_f (kcal/mol of atoms): -5.499
SG: C2/m, No. 12
Volume (Å³ per cell): 298
Uncorrected energy (eV/atom): -6.034

Cell lengths 3.5677, 9.2335, 9.7514 Å; angles 72.83, 79.46, 78.86 degrees
Atoms (fractional coordinates):
Er (0.3155, 0.1952, 0.1739)
Er (0.6845, 0.8048, 0.8261)
Er (0.0000, 0.5000, 0.5000)
Sc (0.3148, 0.8411, 0.5292)
Sc (0.5053, 0.2200, 0.7694)
Sc (0.8369, 0.4330, 0.8931)
Sc (0.6852, 0.1589, 0.4708)
Sc (0.1631, 0.5670, 0.1069)
Sc (0.0000, 0.0000, 0.0000)
Sc (0.4947, 0.7800, 0.2306)
Ni (0.6503, 0.4209, 0.2784)
Ni (0.3497, 0.5791, 0.7216)
Ni (0.8698, 0.9416, 0.3187)
Ni (0.1302, 0.0584, 0.6813)

***

First-principles (PBE-GGA) data for a relaxed KLi2Te crystal, as listed in Alexandria via LeMat-Bulk.

Values from the calculation:
DOS at the Fermi energy (states/eV/cell): 2.07
SG: Pm, No. 6
Volume (Å³ per cell): 143
Uncorrected energy (eV/atom): -2.640
Formation energy without anion corrections (eV/atom): -0.623

Cell lengths 4.5885, 4.5897, 6.8047 Å; angles 89.31, 90.00, 90.00 degrees
Atoms (fractional coordinates):
K (0.5000, 0.8703, 0.6597)
Li (0.0000, 0.8779, 0.2089)
Li (0.5000, 0.3779, 0.2085)
Te (0.0000, 0.3739, 0.4229)